First-principles (PBE with a Hubbard U) data for a geometry-optimized BaPrNiO4 structure, as listed in Alexandria via LeMat-Bulk.

Geometry as POSCAR:
```
BaPrNiO4
1.0
-1.963 1.963 6.426
1.963 -1.963 6.426
1.963 1.963 -6.426
Ba Pr Ni O
1 1 1 4
direct
0.000 0.000 0.000
0.720 0.720 0.000
0.355 0.355 0.000
0.199 0.199 0.000
0.342 0.842 0.500
0.533 0.533 0.000
0.842 0.342 0.500
```

Properties
For the magnetic moment, the calculation gives 1.0 μB/f.u. The density of states at the Fermi level is 0.6 states/eV/f.u. The final energy comes out at -6.368 eV per atom. The value obtained for the calculated density is 6.721 g cm⁻³. As for the symmetry: I4mm.